Computed, not measured: crystalline SrReIr2I at its relaxed geometry at the PBE-GGA level of DFT.

Computed properties:
Crystal system: tetragonal
ρ in Mg/m³: 8.7
Energy relative to the elements, uncorrected in meV per atom: 2838
Energy in eV per cell: -19.214
Size of the total moment in μB per formula unit: 4.195

abc: 5.074 5.074 5.818
angles: 90.00 90.00 90.00
Space group P4/mmm (No. 123)
Symmetry-distinct sites (fractional):
Sr  0.000  0.000  0.000 (multiplicity 1)
Re  0.500  0.500  0.500 (multiplicity 1)
Ir  0.000  0.500  0.000 (multiplicity 2)
I  0.000  0.000  0.500 (multiplicity 1)

***

Computed, not measured: crystalline ReTeIrI2 at its relaxed geometry at the PBE-GGA level of DFT.

Computed properties:
Crystal system: tetragonal
Energy above the most stable polymorph in this dataset in meV/atom: 166
ρ in Mg/m³: 8.4
Energy relative to the elements, uncorrected in meV per atom: 1660
Energy in eV per cell: -19.253
Size of the total moment in μB per formula unit: 1.695

abc: 5.432 5.432 5.076
angles: 90.00 90.00 90.00
Space group P4/mmm (No. 123)
Symmetry-distinct sites (fractional):
Re  0.000  0.000  0.000 (multiplicity 1)
Te  0.000  0.000  0.500 (multiplicity 1)
Ir  0.500  0.500  0.500 (multiplicity 1)
I  0.000  0.500  0.000 (multiplicity 2)

***

Computed, not measured: crystalline ReTeIrI2 at its relaxed geometry at the PBE-GGA level of DFT.

Computed properties:
Crystal system: tetragonal
Energy above the most stable polymorph in this dataset in meV/atom: 0
ρ in Mg/m³: 8.2
Energy relative to the elements, uncorrected in meV per atom: 1494
Energy in eV per cell: -20.082
Size of the total moment in μB per formula unit: 4.855

abc: 5.430 5.430 5.237
angles: 90.00 90.00 90.00
Space group P4/mmm (No. 123)
Symmetry-distinct sites (fractional):
Re  0.000  0.000  0.000 (multiplicity 1)
Te  0.500  0.500  0.000 (multiplicity 1)
Ir  0.500  0.500  0.500 (multiplicity 1)
I  0.000  0.500  0.500 (multiplicity 2)

***

Question: Which of these has the highest energy relative to the elements, uncorrected?
Answer: SrReIr2I

***

Question: What is the formula in the first record?
Answer: SrReIr2I

***

Question: energy of number 3 (ReTeIrI2)?
Answer: -20.082 eV per cell